{
  "formula": "ScCl2O",
  "functional": "PBE",
  "state": "optimized geometry",
  "polymorph_energy_mev_per_atom": 814,
  "raw_formation_energy_ev_per_atom": -0.9355,
  "spacegroup": "Fm-3m",
  "m_tot_mub_per_atom": 0.250,
  "lattice_angstrom": [[4.2386, -0.2163, 1.3804], [1.7043, 3.2838, 2.4960], [0.9093, -0.7155, 4.3104]],
  "species": ["Sc", "Cl", "O", "Cl"],
  "frac_coords": [[0.5000, 0.5000, 0.5000], [0.2500, 0.2500, 0.2500], [0.0000, 0.0000, 0.0000], [0.7500, 0.7500, 0.7500]]
}